Below is a geometry-optimized MgAg2Ru structure, with properties calculated at the PBE-GGA level.

Structure (CIF):
```
data_MgAg2Ru
_symmetry_space_group_name_H-M 'C m m m'
_symmetry_Int_Tables_number 65
_symmetry_space_group_name_Hall '-C 2 2'
_cell_length_a 3.0251
_cell_length_b 4.7370
_cell_length_c 9.5135
_cell_angle_alpha 90.00
_cell_angle_beta 90.00
_cell_angle_gamma 90.00
loop_
_atom_site_label
_atom_site_fract_x
_atom_site_fract_y
_atom_site_fract_z
_atom_site_occupancy
Mg1 0.0000 0.0000 0.0000 1
Ag1 0.0000 0.5000 0.2495 1
Ru1 0.0000 0.0000 0.5000 1
```

Calculated volume = 17.0 Å³/atom
Formation enthalpy at 0 K = 324 meV/atom
Total magnetization = 1.1 μB/f.u.